First-principles (PBE-GGA) data for an optimized crystal structure of Cs2SrDyBr6, as listed in Alexandria via LeMat-Bulk.

```
20
Lattice="8.2931 0.0000 0.0000 0.0000 11.7231 0.0000 0.0000 0.0000 8.2795" Properties=species:S:1:pos:R:3 pbc="T T T"
Cs 2.0733 0.0112 2.0689
Cs 2.0733 5.8503 2.0689
Cs 6.2198 5.8728 6.2106
Cs 6.2198 11.7119 6.2106
Sr 2.0733 8.7923 6.2124
Sr 6.2198 2.9308 2.0671
Dy 2.0733 2.9308 6.2066
Dy 6.2198 8.7923 2.0729
Br 0.0671 2.9308 4.1965
Br 0.0642 2.9308 8.2139
Br 2.0733 0.0894 6.2100
Br 2.0733 5.7721 6.2100
Br 4.0794 2.9308 4.1965
Br 4.0824 2.9308 8.2139
Br 4.2107 8.7923 0.0656
Br 4.2137 8.7923 4.0830
Br 6.2198 5.9510 2.0695
Br 6.2198 11.6337 2.0695
Br 8.2289 8.7923 0.0656
Br 8.2260 8.7923 4.0830
```

## Properties
Density = 4.107 Mg/m³
DOS at the Fermi energy = 9.4 states/eV per cell
Uncorrected energy = -3.58 eV/atom

=====

First-principles (PBE-GGA) data for an optimized crystal structure of LaSc2Te4, as listed in Alexandria via LeMat-Bulk.

```
14
Lattice="2.1358 -6.8794 0.0000 2.1358 6.8794 0.0000 0.0000 0.0000 14.4595" Properties=species:S:1:pos:R:3 pbc="T T T"
La 2.1358 5.2096 10.8446
La 2.1358 -5.2096 3.6149
Sc 2.1358 1.7715 8.1439
Sc 2.1358 1.7715 13.5453
Sc 2.1358 -1.7715 0.9142
Sc 2.1358 -1.7715 6.3155
Te 0.0000 0.0000 0.0000
Te 0.0000 0.0000 7.2297
Te 2.1358 3.1699 1.6689
Te 2.1358 3.1699 5.5609
Te 2.1358 0.7356 10.8446
Te 2.1358 -0.7356 3.6149
Te 2.1358 -3.1699 8.8986
Te 2.1358 -3.1699 12.7906
```

## Properties
Density = 5.778 Mg/m³
DOS at the Fermi energy = 6.2 states/eV per cell
Uncorrected energy = -5.65 eV/atom

=====

Number 1: total moment 0.8 μB per formula unit. Number 2: total moment 0.0 μB per formula unit.